No. 1
PBE Pm5DyTe4, relaxed; energy = -4.940 eV per atom; V = 35.60 Å³/atom; formation energy from raw total energies = -8.47 eV per formula unit; D(E_F) = 0.91 states/eV/atom
1.0
-4.748 -5.540 1.039
4.856 -5.035 -4.653
5.758 -3.166 9.435
Pm Dy Te
10 2 8
direct
0.283 0.752 0.828
0.283 0.248 0.828
0.915 0.500 0.000
0.283 0.752 0.172
0.283 0.248 0.172
0.717 0.748 0.328
0.717 0.252 0.328
0.085 0.000 0.500
0.717 0.252 0.672
0.717 0.748 0.672
0.916 0.000 0.000
0.084 0.500 0.500
0.996 0.000 0.752
0.612 0.755 0.000
0.612 0.245 0.000
0.996 0.000 0.248
0.004 0.500 0.252
0.388 0.745 0.500
0.388 0.255 0.500
0.004 0.500 0.748

No. 2
PBE Pm3DyTe4, relaxed; energy = -5.284 eV per atom; V = 30.96 Å³/atom; formation energy from raw total energies = -10.85 eV per formula unit; D(E_F) = 0.63 states/eV/atom; offset from the most stable computed form = 0.14 eV per formula unit
1.0
4.333 0.000 0.000
-2.166 3.752 0.000
0.000 0.000 30.472
Dy Te Pm
2 8 6
direct
0.667 0.333 0.750
0.333 0.667 0.250
0.667 0.333 0.937
0.333 0.667 0.063
0.333 0.667 0.437
0.667 0.333 0.563
0.000 0.000 0.811
0.000 0.000 0.189
0.000 0.000 0.311
0.000 0.000 0.689
0.000 0.000 0.000
0.000 0.000 0.500
0.333 0.667 0.875
0.667 0.333 0.125
0.667 0.333 0.375
0.333 0.667 0.625

Copy entry 2 word for word.
PBE Pm3DyTe4, relaxed; energy = -5.284 eV per atom; V = 30.96 Å³/atom; formation energy from raw total energies = -10.85 eV per formula unit; D(E_F) = 0.63 states/eV/atom; offset from the most stable computed form = 0.14 eV per formula unit
1.0
4.333 0.000 0.000
-2.166 3.752 0.000
0.000 0.000 30.472
Dy Te Pm
2 8 6
direct
0.667 0.333 0.750
0.333 0.667 0.250
0.667 0.333 0.937
0.333 0.667 0.063
0.333 0.667 0.437
0.667 0.333 0.563
0.000 0.000 0.811
0.000 0.000 0.189
0.000 0.000 0.311
0.000 0.000 0.689
0.000 0.000 0.000
0.000 0.000 0.500
0.333 0.667 0.875
0.667 0.333 0.125
0.667 0.333 0.375
0.333 0.667 0.625

Which value of energy does entry 2 give? -5.284 eV per atom

Please write out number 2 again, unchanged.
PBE Pm3DyTe4, relaxed; energy = -5.284 eV per atom; V = 30.96 Å³/atom; formation energy from raw total energies = -10.85 eV per formula unit; D(E_F) = 0.63 states/eV/atom; offset from the most stable computed form = 0.14 eV per formula unit
1.0
4.333 0.000 0.000
-2.166 3.752 0.000
0.000 0.000 30.472
Dy Te Pm
2 8 6
direct
0.667 0.333 0.750
0.333 0.667 0.250
0.667 0.333 0.937
0.333 0.667 0.063
0.333 0.667 0.437
0.667 0.333 0.563
0.000 0.000 0.811
0.000 0.000 0.189
0.000 0.000 0.311
0.000 0.000 0.689
0.000 0.000 0.000
0.000 0.000 0.500
0.333 0.667 0.875
0.667 0.333 0.125
0.667 0.333 0.375
0.333 0.667 0.625

What is the formation energy from raw total energies in the second record? -10.85 eV per formula unit